(1)
DFT (PBE-GGA) results for crystalline Tl2SiMo at its relaxed geometry.

Cell lengths 3.965, 4.081, 5.639 Å; angles 90.00, 110.55, 90.00 degrees
Space group Pm (No. 6)
Symmetry-distinct sites (fractional):
Tl 0.000 0.000 0.000 x1
Tl 0.312 0.500 0.625 x1
Si 0.717 0.000 0.431 x1
Mo 0.589 0.500 0.181 x1

volume	85	Å³/f.u.
crystal system	monoclinic
magnetic moment	0.0	μB/cell
D(E_F)	2.441	states/eV/cell
total energy	-0.3511	Ry/atom


(2)
DFT (PBE-GGA) results for crystalline Cs3NiBr6 at its relaxed geometry.

Cell lengths 11.704, 11.704, 11.704 Å; angles 90.00, 90.00, 90.00 degrees
Space group Fm-3m (No. 225)
Symmetry-distinct sites (fractional):
Cs 0.000 0.000 0.000 x4
Cs 0.250 0.250 0.250 x8
Ni 0.000 0.000 0.500 x4
Br 0.000 0.000 0.288 x24

volume	401	Å³/f.u.
crystal system	cubic
magnetic moment	4.0	μB/cell
D(E_F)	28.484	states/eV/cell
total energy	-0.2182	Ry/atom


(3)
DFT (PBE-GGA) results for crystalline BaSiGe2 at its relaxed geometry.

Cell lengths 4.4887, 4.4887, 17.4644 Å; angles 90.00, 90.00, 120.00 degrees
Space group R-3m (No. 166, hexagonal axes)
Symmetry-distinct sites (fractional):
Ba 0.0000 0.0000 0.0000 x3
Si 0.0000 0.0000 0.5000 x3
Ge 0.0000 0.0000 0.2063 x6

volume	102	Å³/f.u.
crystal system	trigonal
magnetic moment	0.0	μB/cell
D(E_F)	2.016	states/eV/cell
total energy	-0.3201	Ry/atom